First-principles (GGA+U) data for a relaxed KCaCrF6 crystal, as listed in Alexandria via LeMat-Bulk.

abc: 5.7591 5.7591 10.7723
angles: 90.00 90.00 120.00
Last column: magnetic moment on the atom in μB.
Fractional coordinates of all 18 atoms:
K 0.0000 0.0000 0.0000  0.00
K 0.0000 0.0000 0.5000  0.00
Ca 0.3333 0.6667 0.2500  0.00
Ca 0.6667 0.3333 0.7500  0.00
Cr 0.6667 0.3333 0.2500  2.94
Cr 0.3333 0.6667 0.7500  2.94
F 0.6492 0.6072 0.1494  0.00
F 0.9580 0.3508 0.1494  0.00
F 0.3508 0.9580 0.6494  0.00
F 0.0420 0.6492 0.8506  0.00
F 0.3928 0.3508 0.3506  0.00
F 0.9580 0.6072 0.3506  0.00
F 0.6072 0.9580 0.8506  0.00
F 0.6492 0.0420 0.3506  0.00
F 0.0420 0.3928 0.6494  0.00
F 0.3928 0.0420 0.1494  0.00
F 0.6072 0.6492 0.6494  0.00
F 0.3508 0.3928 0.8506  0.00

SG ... P-31c
Energy ... -5.622 eV per atom
Spin magnetization ... 0.333 μB/atom